1.
BeSeBr2 at its PBEsol-relaxed geometry. Source: Alexandria via LeMat-Bulk, functional SCAN.

Values from the calculation:
Its raw formation energy is 424 meV per atom. Its total DFT energy (no corrections) is -15.41 eV per atom. The calculation puts the mass density at 4.703 g cm⁻³. The calculation puts the distance to the lowest polymorph of the same formula at 50.5 kJ/mol of atoms. The symmetry is Pmmm. As for the calculated volume: 21.872 Å³/atom.

Lattice parameters (Å, degrees): 3.512 3.984 6.253 90.00 90.00 90.00
Element x y z (fractional)
Be  0.000  0.000  0.000
Se  0.500  0.000  0.500
Br  0.000  0.500  0.500
Br  0.500  0.500  0.000

2.
TaHgSb at its PBEsol-relaxed geometry. Source: Alexandria via LeMat-Bulk, functional SCAN.

Values from the calculation:
Its raw formation energy is 363 meV per atom. Its total DFT energy (no corrections) is -56.97 eV per atom. The calculation puts the mass density at 13.233 g cm⁻³. The symmetry is P3m1. As for the calculated volume: 21.052 Å³/atom.

Lattice parameters (Å, degrees): 3.165 3.165 7.282 90.00 90.00 120.00
Element x y z (fractional)
Ta  0.000  0.000  0.000
Hg  0.333  0.667  0.685
Sb  0.667  0.333  0.313

3.
Li2ScMn at its PBEsol-relaxed geometry. Source: Alexandria via LeMat-Bulk, functional SCAN.

Values from the calculation:
As for the formation energy from the elements: 51 meV per atom. Its total DFT energy (no corrections) is -9.27 eV per atom. The calculation puts the mass density at 2.578 g cm⁻³. The symmetry is P4mm. As for the calculated volume: 18.322 Å³/atom.

Lattice parameters (Å, degrees): 2.977 2.977 8.269 90.00 90.00 90.00
Element x y z (fractional)
Li  0.000  0.000  0.000
Li  0.500  0.500  0.264
Sc  0.500  0.500  0.688
Mn  0.000  0.000  0.481

4.
K4Ti3NiP6O24 at its PBEsol-relaxed geometry. Source: Alexandria via LeMat-Bulk, functional SCAN.

Values from the calculation:
Its raw formation energy is -2713 meV per atom. Its total DFT energy (no corrections) is -10.86 eV per atom. The calculation puts the mass density at 3.212 g cm⁻³. The symmetry is P2_1. As for the calculated volume: 12.633 Å³/atom.

Lattice parameters (Å, degrees): 9.862 9.858 9.876 90.00 90.20 90.00
Element x y z (fractional)
K  0.038  0.000  0.193
K  0.178  0.274  0.569
K  0.309  0.644  0.060
K  0.444  0.905  0.716
K  0.556  0.405  0.284
K  0.691  0.144  0.940
K  0.822  0.774  0.431
K  0.962  0.500  0.807
Ti  0.159  0.617  0.412
Ti  0.333  0.292  0.913
Ti  0.390  0.066  0.358
Ti  0.610  0.566  0.642
Ti  0.667  0.792  0.087
Ti  0.841  0.117  0.588
Ni  0.106  0.850  0.858
Ni  0.894  0.350  0.142
P  0.021  0.161  0.875
P  0.125  0.933  0.545
P  0.203  0.330  0.225
P  0.290  0.576  0.724
P  0.380  0.983  0.043
P  0.473  0.747  0.371
P  0.527  0.247  0.629
P  0.620  0.483  0.957
P  0.710  0.076  0.276
P  0.797  0.830  0.775
P  0.875  0.433  0.455
P  0.979  0.661  0.125
O  0.008  0.015  0.925
O  0.013  0.503  0.484
O  0.039  0.678  0.271
O  0.054  0.762  0.037
O  0.061  0.272  0.236
O  0.108  0.784  0.500
O  0.174  0.201  0.859
O  0.176  0.947  0.689
O  0.205  0.677  0.799
O  0.222  0.467  0.300
O  0.227  0.007  0.448
O  0.251  0.353  0.078
O  0.253  0.558  0.572
O  0.268  0.434  0.790
O  0.284  0.909  0.950
O  0.305  0.233  0.299
O  0.325  0.704  0.347
O  0.330  0.978  0.193
O  0.403  0.134  0.005
O  0.443  0.617  0.731
O  0.450  0.225  0.762
O  0.455  0.157  0.522
O  0.479  0.415  0.968
O  0.479  0.896  0.420
O  0.521  0.396  0.580
O  0.521  0.915  0.032
O  0.545  0.657  0.478
O  0.550  0.725  0.238
O  0.557  0.117  0.269
O  0.597  0.634  0.995
O  0.670  0.478  0.807
O  0.675  0.204  0.653
O  0.695  0.733  0.701
O  0.716  0.409  0.050
O  0.732  0.934  0.210
O  0.747  0.058  0.428
O  0.749  0.853  0.922
O  0.773  0.507  0.552
O  0.778  0.967  0.700
O  0.795  0.177  0.201
O  0.824  0.447  0.311
O  0.826  0.701  0.141
O  0.892  0.284  0.500
O  0.939  0.772  0.764
O  0.946  0.262  0.963
O  0.961  0.178  0.729
O  0.987  0.003  0.516
O  0.992  0.515  0.075

5.
BaAgIr2 at its PBEsol-relaxed geometry. Source: Alexandria via LeMat-Bulk, functional SCAN.

Values from the calculation:
As for the formation energy from the elements: 1078 meV per atom. Its total DFT energy (no corrections) is -52.20 eV per atom. The calculation puts the mass density at 13.477 g cm⁻³. The calculation puts the distance to the lowest polymorph of the same formula at 21.4 kJ/mol of atoms. The symmetry is Fm-3m. As for the calculated volume: 19.395 Å³/atom.

Lattice parameters (Å, degrees): 4.787 4.787 4.787 60.00 60.00 60.00
Element x y z (fractional)
Ba  0.000  0.000  0.000
Ag  0.500  0.500  0.500
Ir  0.250  0.250  0.250
Ir  0.750  0.750  0.750

6.
BeP2Pb at its PBEsol-relaxed geometry. Source: Alexandria via LeMat-Bulk, functional SCAN.

Values from the calculation:
As for the formation energy from the elements: 819 meV per atom. Its total DFT energy (no corrections) is -24.41 eV per atom. The calculation puts the mass density at 6.410 g cm⁻³. The symmetry is Cmmm. As for the calculated volume: 18.014 Å³/atom.

Lattice parameters (Å, degrees): 4.506 4.506 3.754 90.00 90.00 109.01
Element x y z (fractional)
Be  0.000  0.000  0.000
P  0.000  0.500  0.500
P  0.500  0.000  0.500
Pb  0.500  0.500  0.000

7.
La2ZnAs at its PBEsol-relaxed geometry. Source: Alexandria via LeMat-Bulk, functional SCAN.

Values from the calculation:
As for the formation energy from the elements: -634 meV per atom. Its total DFT energy (no corrections) is -30.61 eV per atom. The calculation puts the mass density at 6.253 g cm⁻³. The calculation puts the distance to the lowest polymorph of the same formula at 29.4 kJ/mol of atoms. The symmetry is R3m. As for the calculated volume: 27.758 Å³/atom.

Lattice parameters (Å, degrees): 7.998 7.998 7.998 29.68 29.68 29.68
Element x y z (fractional)
La  0.000  0.000  0.000
La  0.191  0.191  0.191
Zn  0.751  0.751  0.751
As  0.436  0.436  0.436

8.
LiZrCd2 at its PBEsol-relaxed geometry. Source: Alexandria via LeMat-Bulk, functional SCAN.

Values from the calculation:
As for the formation energy from the elements: -194 meV per atom. Its total DFT energy (no corrections) is -23.67 eV per atom. The calculation puts the mass density at 6.661 g cm⁻³. The calculation puts the distance to the lowest polymorph of the same formula at 4.5 kJ/mol of atoms. The symmetry is P4/mmm. As for the calculated volume: 20.129 Å³/atom.

Lattice parameters (Å, degrees): 4.919 4.919 3.327 90.00 90.00 90.00
Element x y z (fractional)
Li  0.000  0.000  0.000
Zr  0.500  0.500  0.000
Cd  0.000  0.500  0.500
Cd  0.500  0.000  0.500

9.
Ba2ScH at its PBEsol-relaxed geometry. Source: Alexandria via LeMat-Bulk, functional SCAN.

Values from the calculation:
Its total DFT energy (no corrections) is -23.42 eV per atom. The calculation puts the mass density at 3.917 g cm⁻³. The symmetry is Fm-3m. As for the calculated volume: 33.983 Å³/atom.

Lattice parameters (Å, degrees): 5.771 5.771 5.771 60.00 60.00 60.00
Element x y z (fractional)
Ba  0.250  0.250  0.250
Ba  0.750  0.750  0.750
Sc  0.000  0.000  0.000
H  0.500  0.500  0.500

10.
LaRe at its PBEsol-relaxed geometry. Source: Alexandria via LeMat-Bulk, functional SCAN.

Values from the calculation:
As for the formation energy from the elements: 658 meV per atom. Its total DFT energy (no corrections) is -56.44 eV per atom. The calculation puts the mass density at 13.344 g cm⁻³. The calculation puts the distance to the lowest polymorph of the same formula at 0.0 kJ/mol of atoms. The symmetry is Fd-3m. As for the calculated volume: 20.229 Å³/atom.

Lattice parameters (Å, degrees): 4.855 4.855 4.855 60.00 60.00 60.00
Element x y z (fractional)
La  0.125  0.125  0.125
La  0.875  0.875  0.875
Re  0.375  0.375  0.375
Re  0.625  0.625  0.625

11.
AlCr2Ru at its PBEsol-relaxed geometry. Source: Alexandria via LeMat-Bulk, functional SCAN.

Values from the calculation:
As for the formation energy from the elements: -128 meV per atom. Its total DFT energy (no corrections) is -19.97 eV per atom. The calculation puts the mass density at 7.775 g cm⁻³. The symmetry is Pm. As for the calculated volume: 12.389 Å³/atom.

Lattice parameters (Å, degrees): 2.635 3.933 4.912 90.00 103.22 90.00
Element x y z (fractional)
Al  0.000  0.000  0.000
Cr  0.564  0.000  0.485
Cr  0.696  0.500  0.248
Ru  0.293  0.500  0.743